(1)
Density functional theory data (GGA-PBE) for crystalline ErTm2ZrS4 at its relaxed geometry.

Cell lengths 6.596, 3.820, 6.607 Å; angles 90.00, 109.68, 90.00 degrees
Element x y z (fractional)
Er1 0.000 0.000 0.000
Tm1 0.000 0.500 0.500
Tm2 0.500 0.000 0.500
Zr1 0.500 0.500 0.000
S1 0.253 0.000 0.751
S2 0.253 0.500 0.250
S3 0.747 0.000 0.249
S4 0.747 0.500 0.750

## Properties
- Formation energy without anion corrections: -1.7928 eV/atom
- Total magnetization: 0.00 μB per cell
- Symmetry: P2/m (10)

=====

(2)
Density functional theory data (GGA-PBE) for crystalline Er2U3S8 at its relaxed geometry.

Cell lengths 7.985, 7.985, 6.558 Å; angles 106.69, 106.69, 58.31 degrees
Element x y z (fractional)
Er1 0.240 0.240 0.162
Er2 0.760 0.760 0.838
U1 0.241 0.759 0.500
U2 0.500 0.500 0.000
U3 0.759 0.241 0.500
S1 0.115 0.115 0.400
S2 0.137 0.609 0.083
S3 0.381 0.381 0.573
S4 0.391 0.863 0.917
S5 0.609 0.137 0.083
S6 0.619 0.619 0.427
S7 0.863 0.391 0.917
S8 0.885 0.885 0.600

## Properties
- Formation energy without anion corrections: -1.5620 eV/atom
- Total magnetization: 8.00 μB per cell
- Symmetry: C2/m (12)

=====

(3)
Density functional theory data (GGA-PBE) for crystalline ErU3S4 at its relaxed geometry.

Cell lengths 6.701, 6.701, 3.836 Å; angles 90.00, 90.00, 108.99 degrees
Element x y z (fractional)
Er1 0.000 0.000 0.000
U1 0.000 0.500 0.500
U2 0.500 0.000 0.500
U3 0.500 0.500 0.000
S1 0.246 0.246 0.500
S2 0.248 0.752 0.000
S3 0.752 0.248 0.000
S4 0.754 0.754 0.500

## Properties
- Formation energy without anion corrections: -1.5159 eV/atom
- Total magnetization: 6.83 μB per cell
- Symmetry: Cmmm (65)

=====

(4)
Density functional theory data (GGA-PBE) for crystalline ErUS3 at its relaxed geometry.

Cell lengths 7.275, 3.877, 14.918 Å; angles 90.00, 90.00, 90.00 degrees
Element x y z (fractional)
Er1 0.239 0.250 0.043
Er2 0.261 0.750 0.543
Er3 0.739 0.250 0.457
Er4 0.761 0.750 0.957
U1 0.134 0.750 0.292
U2 0.366 0.250 0.792
U3 0.634 0.750 0.208
U4 0.866 0.250 0.708
S1 0.009 0.750 0.107
S2 0.124 0.250 0.432
S3 0.147 0.750 0.721
S4 0.353 0.250 0.221
S5 0.376 0.750 0.932
S6 0.491 0.250 0.607
S7 0.509 0.750 0.393
S8 0.624 0.250 0.068
S9 0.647 0.750 0.779
S10 0.853 0.250 0.279
S11 0.876 0.750 0.568
S12 0.991 0.250 0.893

## Properties
- Formation energy without anion corrections: -1.7382 eV/atom
- Relative energy among the computed polymorphs: 0.000 eV per atom
- Total magnetization: 10.95 μB per cell
- Symmetry: Pnma (62)

=====

(5)
Density functional theory data (GGA-PBE) for crystalline Er2US6 at its relaxed geometry.

Cell lengths 6.275, 6.275, 11.948 Å; angles 90.00, 90.00, 90.00 degrees
Element x y z (fractional)
Er1 0.000 0.000 0.165
Er2 0.000 0.000 0.835
Er3 0.500 0.500 0.335
Er4 0.500 0.500 0.665
U1 0.000 0.000 0.500
U2 0.500 0.500 0.000
S1 0.192 0.192 0.341
S2 0.192 0.192 0.659
S3 0.207 0.207 0.000
S4 0.293 0.707 0.500
S5 0.308 0.692 0.159
S6 0.308 0.692 0.841
S7 0.692 0.308 0.159
S8 0.692 0.308 0.841
S9 0.707 0.293 0.500
S10 0.793 0.793 0.000
S11 0.808 0.808 0.341
S12 0.808 0.808 0.659

## Properties
- Formation energy without anion corrections: -1.5557 eV/atom
- Total magnetization: 0.17 μB per cell
- Symmetry: P4_2/mnm (136)

=====

(6)
Density functional theory data (GGA-PBE) for crystalline ErUS3 at its relaxed geometry.

Cell lengths 6.972, 6.972, 6.918 Å; angles 90.00, 90.00, 120.00 degrees
Element x y z (fractional)
Er1 0.000 0.000 0.000
Er2 0.000 0.000 0.500
U1 0.333 0.667 0.000
U2 0.333 0.667 0.500
S1 0.073 0.330 0.250
S2 0.073 0.743 0.750
S3 0.257 0.330 0.750
S4 0.257 0.927 0.250
S5 0.670 0.743 0.250
S6 0.670 0.927 0.750

## Properties
- Formation energy without anion corrections: -1.6263 eV/atom
- Relative energy among the computed polymorphs: 0.112 eV per atom
- Total magnetization: 5.17 μB per cell
- Symmetry: P-6c2 (188)

=====

(7)
Density functional theory data (GGA-PBE) for crystalline ErU3S6 at its relaxed geometry.

Cell lengths 10.910, 3.849, 11.341 Å; angles 90.00, 107.98, 90.00 degrees
Element x y z (fractional)
Er1 0.044 0.250 0.190
Er2 0.956 0.750 0.810
U1 0.156 0.250 0.577
U2 0.318 0.750 0.999
U3 0.426 0.250 0.332
U4 0.574 0.750 0.668
U5 0.682 0.250 0.001
U6 0.844 0.750 0.423
S1 0.082 0.750 0.395
S2 0.114 0.250 0.964
S3 0.191 0.750 0.750
S4 0.250 0.750 0.219
S5 0.398 0.250 0.563
S6 0.490 0.250 0.121
S7 0.510 0.750 0.879
S8 0.602 0.750 0.437
S9 0.750 0.250 0.781
S10 0.809 0.250 0.250
S11 0.886 0.750 0.036
S12 0.918 0.250 0.605

## Properties
- Formation energy without anion corrections: -1.5044 eV/atom
- Total magnetization: 16.94 μB per cell
- Symmetry: P2_1/m (11)

=====

(8)
Density functional theory data (GGA-PBE) for crystalline Er4US7 at its relaxed geometry.

Cell lengths 6.659, 6.659, 11.597 Å; angles 104.10, 104.10, 32.84 degrees
Element x y z (fractional)
Er1 0.000 0.000 0.000
Er2 0.398 0.398 0.627
Er3 0.582 0.582 0.392
Er4 0.700 0.700 0.812
U1 0.816 0.816 0.238
S1 0.040 0.040 0.764
S2 0.199 0.199 0.319
S3 0.358 0.358 0.864
S4 0.445 0.445 0.163
S5 0.659 0.659 0.028
S6 0.740 0.740 0.599
S7 0.960 0.960 0.468

## Properties
- Formation energy without anion corrections: -1.8912 eV/atom
- Total magnetization: 3.16 μB per cell
- Symmetry: Cm (8)

=====

> Among the records above, which one has the highest total magnetization?

ErU3S6